ZrP | PBE-GGA | optimized geometry

- Magnetization: 0.002 μB per atom
- Final energy: -66.9 eV per cell

Unit cell a=3.7063 b=3.7063 c=12.5982 alpha=90.00 beta=90.00 gamma=120.00
Space group P6_3/mmc (No. 194)
One atom of each set of equivalent atoms:
Zr: 0.3333 0.6667 0.1159
P: 0.0000 0.0000 0.0000
P: 0.3333 0.6667 0.7500